# LiCd2P2Pd5 | Alexandria via LeMat-Bulk | PBE | optimized geometry
data_LiCd2P2Pd5
_chemical_formula_sum 'Li2 Cd4 P4 Pd10'
_cell_length_a 10.043
_cell_length_b 10.043
_cell_length_c 3.198
_cell_angle_alpha 90.00
_cell_angle_beta 90.00
_cell_angle_gamma 90.00
_symmetry_space_group_name_H-M 'P 4/m b m'
_symmetry_Int_Tables_number 127
_symmetry_space_group_name_Hall '-P 4 2ab'
loop_
_atom_site_label
_atom_site_type_symbol
_atom_site_fract_x
_atom_site_fract_y
_atom_site_fract_z
Li1 Li 0.000 0.000 0.000
Cd1 Cd 0.183 0.317 0.000
P1 P 0.132 0.632 0.000
Pd1 Pd 0.000 0.500 0.500
Pd2 Pd 0.036 0.788 0.500
# Size of the total moment: 0.00 μB per formula unit
# ΔH_f (0 K): -315 meV per atom
# Electronic total energy: -4.368 eV per atom



# Li2CdP2Pd5 | Alexandria via LeMat-Bulk | PBE | optimized geometry
data_Li2CdP2Pd5
_chemical_formula_sum 'Li4 Cd2 P4 Pd10'
_cell_length_a 9.695
_cell_length_b 9.695
_cell_length_c 3.436
_cell_angle_alpha 90.00
_cell_angle_beta 90.00
_cell_angle_gamma 90.00
_symmetry_space_group_name_H-M 'P 4/m b m'
_symmetry_Int_Tables_number 127
_symmetry_space_group_name_Hall '-P 4 2ab'
loop_
_atom_site_label
_atom_site_type_symbol
_atom_site_fract_x
_atom_site_fract_y
_atom_site_fract_z
Li1 Li 0.172 0.328 0.000
Cd1 Cd 0.000 0.000 0.000
P1 P 0.129 0.629 0.000
Pd1 Pd 0.000 0.500 0.500
Pd2 Pd 0.072 0.786 0.500
# Size of the total moment: 0.00 μB per formula unit
# ΔH_f (0 K): -497 meV per atom
# Electronic total energy: -4.650 eV per atom